Here is a relaxed InAs2F2 crystal from Alexandria via LeMat-Bulk. Energies are from PBE.

* size of the total moment: 0.000 μB/atom
* formation energy (no corrections): -4.189 eV per formula unit
* energy above the most stable polymorph in this dataset: 0.0 meV per atom
* total energy: -3.994 eV/atom

a b c (Å): 7.2555 7.2555 4.2265
angles (deg): 90.00 90.00 90.00
Fractional coordinates of all 10 atoms:
In: 0.0000 0.0000 0.0000
In: 0.5000 0.5000 0.0000
As: 0.3774 0.8774 0.0000
As: 0.8774 0.6226 0.0000
As: 0.1226 0.3774 0.0000
As: 0.6226 0.1226 0.0000
F: 0.3618 0.8618 0.5000
F: 0.6382 0.1382 0.5000
F: 0.8618 0.6382 0.5000
F: 0.1382 0.3618 0.5000

---

Here is a relaxed CdCu3Pt4 crystal from Alexandria via LeMat-Bulk. Energies are from PBE.

* formation energy: -0.14 eV per atom
* size of the total moment: 0.000 μB/atom
* total energy: -4.812 eV/atom

a b c (Å): 4.6318 5.7552 8.9570
angles (deg): 90.00 90.00 90.00
Fractional coordinates of all 16 atoms:
Pt: 0.5000 0.2398 0.0000
Pt: 0.8649 0.7617 0.2500
Pt: 0.5000 0.2398 0.5000
Pt: 0.5000 0.7602 0.0000
Pt: 0.8649 0.2383 0.2500
Pt: 0.1351 0.2383 0.7500
Pt: 0.1351 0.7617 0.7500
Pt: 0.5000 0.7602 0.5000
Cd: 0.0000 0.5000 0.0000
Cd: 0.0000 0.5000 0.5000
Cu: 0.0000 0.0000 0.0000
Cu: 0.3592 0.0000 0.2500
Cu: 0.6408 0.0000 0.7500
Cu: 0.3831 0.5000 0.2500
Cu: 0.6169 0.5000 0.7500
Cu: 0.0000 0.0000 0.5000

---

Here is a relaxed Er2OF3 crystal from Alexandria via LeMat-Bulk. Energies are from PBE.

* size of the total moment: 0.156 μB/atom
* formation energy (no corrections): -20.627 eV per formula unit
* total energy: -6.721 eV/atom

a b c (Å): 3.8419 7.4449 7.4449
angles (deg): 120.00 90.00 90.00
Each line ends with the local moment (μB).
Fractional coordinates of all 12 atoms:
O: 0.8453 0.3333 0.6667  0.02
O: 0.1547 0.6667 0.3333  0.02
F: 0.7832 0.8419 0.6838  0.01
F: 0.2168 0.1581 0.3162  0.01
F: 0.7832 0.3162 0.1581  0.01
F: 0.7832 0.8419 0.1581  0.01
F: 0.2168 0.6838 0.8419  0.01
F: 0.2168 0.1581 0.8419  0.01
Er: 0.0000 0.5000 0.5000  0.29
Er: 0.0000 0.0000 0.5000  0.29
Er: 0.0000 0.5000 0.0000  0.29
Er: 0.0000 0.0000 0.0000  0.30

---

Here is a relaxed LaThNbN3 crystal from Alexandria via LeMat-Bulk. Energies are from PBE.

* size of the total moment: 0.000 μB/atom
* formation energy (no corrections): -6.504 eV per formula unit
* total energy: -8.983 eV/atom

a b c (Å): 3.6067 7.6150 8.0697
angles (deg): 93.37 90.00 90.00
Fractional coordinates of all 12 atoms:
N: 0.7500 0.3986 0.1154
N: 0.2500 0.1325 0.8433
N: 0.2500 0.8313 0.5195
N: 0.2500 0.6014 0.8846
N: 0.7500 0.8675 0.1567
N: 0.7500 0.1687 0.4805
Nb: 0.2500 0.1097 0.5890
Nb: 0.7500 0.8903 0.4110
Th: 0.7500 0.3814 0.8312
Th: 0.2500 0.6186 0.1688
La: 0.7500 0.8510 0.8460
La: 0.2500 0.1490 0.1540